Density functional theory data (PBE-GGA) for an optimized crystal structure of BaSnAu2Se4.

Properties
VASP energy (eV per atom): -3.944
Space-group type: No. 40

a = 12.1376 Å, b = 6.6175 Å, c = 6.6175 Å
α = 117.45°, β = 90.00°, γ = 90.00°
Sites, in units of the cell vectors:
Se (0.0692, 0.8645, 0.4013)
Se (0.9308, 0.4013, 0.8645)
Se (0.7500, 0.6316, 0.5028)
Se (0.2500, 0.5028, 0.6316)
Se (0.4308, 0.8645, 0.4013)
Se (0.2500, 0.2071, 0.0398)
Se (0.7500, 0.0398, 0.2071)
Se (0.5692, 0.4013, 0.8645)
Sn (0.7500, 0.6306, 0.9014)
Sn (0.2500, 0.9014, 0.6306)
Ba (0.5000, 0.3217, 0.3217)
Ba (0.0000, 0.3217, 0.3217)
Au (0.1341, 0.6282, 0.9981)
Au (0.8659, 0.9981, 0.6282)
Au (0.3659, 0.6282, 0.9981)
Au (0.6341, 0.9981, 0.6282)

=====

Density functional theory data (PBE-GGA) for an optimized crystal structure of BaTbAuSe3.

Properties
VASP energy (eV per atom): -4.876
Space-group type: No. 11

a = 8.3319 Å, b = 4.2079 Å, c = 10.0290 Å
α = 90.00°, β = 107.07°, γ = 90.00°
Sites, in units of the cell vectors:
Se (0.0794, 0.2500, 0.8566)
Se (0.9206, 0.7500, 0.1434)
Se (0.5617, 0.2500, 0.8598)
Se (0.2774, 0.7500, 0.5438)
Se (0.7226, 0.2500, 0.4562)
Se (0.4383, 0.7500, 0.1402)
Au (0.8976, 0.7500, 0.3991)
Au (0.1024, 0.2500, 0.6009)
Tb (0.3140, 0.7500, 0.8399)
Tb (0.6860, 0.2500, 0.1601)
Ba (0.7683, 0.7500, 0.7213)
Ba (0.2317, 0.2500, 0.2787)

=====

Density functional theory data (PBE-GGA) for an optimized crystal structure of BaTbTeAuSe2.

Properties
VASP energy (eV per atom): -4.722
Space-group type: No. 63

a = 7.8130 Å, b = 7.8130 Å, c = 11.0956 Å
α = 90.00°, β = 90.00°, γ = 148.55°
Sites, in units of the cell vectors:
Ba (0.7751, 0.2249, 0.2500)
Ba (0.2249, 0.7751, 0.7500)
Se (0.6297, 0.3703, 0.5547)
Se (0.3703, 0.6297, 0.0547)
Se (0.3703, 0.6297, 0.4453)
Se (0.6297, 0.3703, 0.9453)
Au (0.4707, 0.5293, 0.2500)
Au (0.5293, 0.4707, 0.7500)
Te (0.0921, 0.9079, 0.2500)
Te (0.9079, 0.0921, 0.7500)
Tb (0.0000, 0.0000, 0.0000)
Tb (0.0000, 0.0000, 0.5000)

=====

Density functional theory data (PBE-GGA) for an optimized crystal structure of BaTmTeAuSe2.

Properties
VASP energy (eV per atom): -4.668
Space-group type: No. 63

a = 7.7971 Å, b = 7.7971 Å, c = 10.9987 Å
α = 90.00°, β = 90.00°, γ = 148.70°
Sites, in units of the cell vectors:
Ba (0.2233, 0.7767, 0.7500)
Ba (0.7767, 0.2233, 0.2500)
Se (0.3724, 0.6276, 0.0516)
Se (0.3724, 0.6276, 0.4484)
Se (0.6276, 0.3724, 0.9484)
Se (0.6276, 0.3724, 0.5516)
Te (0.9079, 0.0921, 0.7500)
Te (0.0921, 0.9079, 0.2500)
Au (0.5297, 0.4703, 0.7500)
Au (0.4703, 0.5297, 0.2500)
Tm (0.0000, 0.0000, 0.0000)
Tm (0.0000, 0.0000, 0.5000)